Density functional theory data (GGA+U) for a relaxed CoCuSO crystal.

Final energy   -20.216 eV/f.u.
Total magnetization   5.33 Bohr magnetons per cell
Fermi-level density of states   4.29 states/eV per cell
Offset from the most stable computed form   0 meV/atom

Lattice parameters (Å, degrees): 3.8442 3.8442 8.1757 90.00 90.00 90.00
Closest atoms and distances in Å follow each position.
Space group P4/nmm (No. 129, origin choice 2)
Symmetry-distinct sites (fractional):
Co (0.2500, 0.2500, 0.0618) [2 per cell]  4 O 1.99
Cu (0.2500, 0.7500, 0.5000) [2 per cell]  4 S 2.31
S (0.2500, 0.2500, 0.3435) [2 per cell]  1 Co 2.30, 4 Cu 2.31
O (0.2500, 0.7500, 0.0000) [2 per cell]  4 Co 1.99